(1)
Crystalline La3PbC at its relaxed geometry. Source: Alexandria, functional PBE. Values from VASP.

Cell and atoms, written as Quantum ESPRESSO input:
```
&SYSTEM
  ibrav = 0, nat = 5, ntyp = 3
/
ATOMIC_SPECIES
La 138.91 La.upf
C 12.01 C.upf
Pb 207.20 Pb.upf
ATOMIC_POSITIONS crystal
La 0.0000 0.5000 0.0000
La 0.0000 0.0000 0.5000
La 0.5000 0.0000 0.0000
C 0.0000 0.0000 0.0000
Pb 0.5000 0.5000 0.5000
CELL_PARAMETERS angstrom
5.2415 0.0000 0.0000
0.0000 5.2415 0.0000
0.0000 0.0000 5.2415
```

- formation energy (eV/atom) = -0.43
- calculated total energy (eV per cell) = -29.9
- total magnetic moment (μB/f.u.) = 0.00
- symmetry = Pm-3m (221)
- E above lowest polymorph (meV per atom) = 0


(2)
Crystalline La2Pm4PrSm at its relaxed geometry. Source: Alexandria, functional PBE. Values from VASP.

Cell and atoms, written as Quantum ESPRESSO input:
```
&SYSTEM
  ibrav = 0, nat = 8, ntyp = 4
/
ATOMIC_SPECIES
Pm 145.00 Pm.upf
La 138.91 La.upf
Sm 150.36 Sm.upf
Pr 140.91 Pr.upf
ATOMIC_POSITIONS crystal
Pm 0.5000 0.2507 0.7486
Pm 0.0000 0.7501 0.7495
Pm 0.5000 0.7493 0.2514
Pm 0.0000 0.2499 0.2505
La 0.5000 0.0000 0.5000
La 0.0000 0.0000 0.0000
Sm 0.0000 0.5000 0.5000
Pr 0.5000 0.5000 0.0000
CELL_PARAMETERS angstrom
3.6900 0.0000 0.0000
0.0000 6.3595 -0.1383
0.0000 2.4475 11.9766
```

- formation energy (eV/atom) = 0.02
- calculated total energy (eV per cell) = -38.2
- total magnetic moment (μB/f.u.) = 0.00
- symmetry = P2/m (10)


(3)
Crystalline NdMgPb at its relaxed geometry. Source: Alexandria, functional PBE. Values from VASP.

Cell and atoms, written as Quantum ESPRESSO input:
```
&SYSTEM
  ibrav = 0, nat = 3, ntyp = 3
/
ATOMIC_SPECIES
Pb 207.20 Pb.upf
Mg 24.30 Mg.upf
Nd 144.24 Nd.upf
ATOMIC_POSITIONS crystal
Pb 0.1683 0.3333 0.6667
Mg 0.1653 0.0000 0.0000
Nd 0.6664 0.6667 0.3333
CELL_PARAMETERS angstrom
-2.9805 2.1406 0.7732
-0.2285 -1.9941 4.6399
2.7640 4.1499 -0.8345
```

- formation energy (eV/atom) = -0.36
- calculated total energy (eV per cell) = -11.2
- total magnetic moment (μB/f.u.) = 0.00
- symmetry = P3m1 (156)


(4)
Crystalline La4Sm2HoSc at its relaxed geometry. Source: Alexandria, functional PBE. Values from VASP.

Cell and atoms, written as Quantum ESPRESSO input:
```
&SYSTEM
  ibrav = 0, nat = 8, ntyp = 4
/
ATOMIC_SPECIES
La 138.91 La.upf
Sc 44.96 Sc.upf
Ho 164.93 Ho.upf
Sm 150.36 Sm.upf
ATOMIC_POSITIONS crystal
La 0.0000 0.2455 0.2545
La 0.0000 0.7545 0.7455
La 0.5000 0.7466 0.2540
La 0.5000 0.2534 0.7460
Sc 0.0000 0.5000 0.5000
Ho 0.5000 0.5000 0.0000
Sm 0.5000 0.0000 0.5000
Sm 0.0000 0.0000 0.0000
CELL_PARAMETERS angstrom
-0.6805 4.8524 -1.7542
0.4991 -1.6889 -4.8651
-9.3687 -3.2443 -5.3397
```

- formation energy (eV/atom) = 0.03
- calculated total energy (eV per cell) = -39.8
- total magnetic moment (μB/f.u.) = 0.00
- symmetry = Pmmm (47)


(5)
Crystalline RbZrSc at its relaxed geometry. Source: Alexandria, functional PBE. Values from VASP.

Cell and atoms, written as Quantum ESPRESSO input:
```
&SYSTEM
  ibrav = 0, nat = 6, ntyp = 3
/
ATOMIC_SPECIES
Zr 91.22 Zr.upf
Sc 44.96 Sc.upf
Rb 85.47 Rb.upf
ATOMIC_POSITIONS crystal
Zr 0.0000 0.0000 0.5000
Zr 0.0000 0.0000 0.0000
Sc 0.0000 0.0000 0.2500
Sc 0.0000 0.0000 0.7500
Rb 0.3333 0.6667 0.2500
Rb 0.6667 0.3333 0.7500
CELL_PARAMETERS angstrom
1.2655 3.6947 5.0242
-5.3865 0.8316 -3.2847
-4.8118 -6.7562 6.1804
```

- formation energy (eV/atom) = 1.94
- calculated total energy (eV per cell) = -20.1
- total magnetic moment (μB/f.u.) = 0.00
- symmetry = P6_3/mmc (194)
- E above lowest polymorph (meV per atom) = 1665


(6)
Crystalline MnVCr at its relaxed geometry. Source: Alexandria, functional PBE. Values from VASP.

Cell and atoms, written as Quantum ESPRESSO input:
```
&SYSTEM
  ibrav = 0, nat = 6, ntyp = 3
/
ATOMIC_SPECIES
Mn 54.94 Mn.upf
V 50.94 V.upf
Cr 52.00 Cr.upf
ATOMIC_POSITIONS crystal
Mn 0.8871 0.4979 0.4415
Mn 0.5759 0.9979 0.2860
V 0.2098 0.4980 0.1216
V 0.2553 0.9980 0.6059
Cr 0.5757 0.9980 0.9417
Cr 0.8920 0.4980 0.7856
CELL_PARAMETERS angstrom
2.4160 0.4058 0.0766
-0.6730 3.9808 0.1384
0.0877 -0.2369 7.2377
```

- formation energy (eV/atom) = 0.03
- calculated total energy (eV per cell) = -55.6
- total magnetic moment (μB/f.u.) = 0.00
- symmetry = Pm (6)
- E above lowest polymorph (meV per atom) = 183


Repeat the fifth record exactly.
Crystalline RbZrSc at its relaxed geometry. Source: Alexandria, functional PBE. Values from VASP.

Cell and atoms, written as Quantum ESPRESSO input:
```
&SYSTEM
  ibrav = 0, nat = 6, ntyp = 3
/
ATOMIC_SPECIES
Zr 91.22 Zr.upf
Sc 44.96 Sc.upf
Rb 85.47 Rb.upf
ATOMIC_POSITIONS crystal
Zr 0.0000 0.0000 0.5000
Zr 0.0000 0.0000 0.0000
Sc 0.0000 0.0000 0.2500
Sc 0.0000 0.0000 0.7500
Rb 0.3333 0.6667 0.2500
Rb 0.6667 0.3333 0.7500
CELL_PARAMETERS angstrom
1.2655 3.6947 5.0242
-5.3865 0.8316 -3.2847
-4.8118 -6.7562 6.1804
```

- formation energy (eV/atom) = 1.94
- calculated total energy (eV per cell) = -20.1
- total magnetic moment (μB/f.u.) = 0.00
- symmetry = P6_3/mmc (194)
- E above lowest polymorph (meV per atom) = 1665


- Among the records above, which one has the lowest formation energy?
  La3PbC


- Number 6 is which compound?
  MnVCr